# Rb2YBeF6 PBE relaxed
# DFT total energy = -5.2111 eV per atom
# D(E_F) = 1.239 states/eV per atom
# formation energy without anion corrections = -2.876 eV per atom
data_Rb2YBeF6
_chemical_formula_sum 'Rb4 Y2 Be2 F12'
_space_group_name_H-M_alt 'I 4/m m m'
_space_group_IT_number 139
_space_group_name_Hall '-I 4 2'
_cell_length_a 6.0238
_cell_length_b 6.0238
_cell_length_c 8.2495
_cell_angle_alpha 90.00
_cell_angle_beta 90.00
_cell_angle_gamma 90.00
loop_
_atom_site_label
_atom_site_fract_x
_atom_site_fract_y
_atom_site_fract_z
Rb1 0.0000 0.5000 0.2500
Y1 0.0000 0.0000 0.0000
Be1 0.0000 0.0000 0.5000
F1 0.0000 0.0000 0.2971
F2 0.2290 0.2290 0.5000